Computed, not measured: a geometry-optimized Nd2PuTc2 structure at the PBE level of DFT.

Summary:
Total magnetic moment ... 6.76 μB/cell
Electronic total energy ... -89.48 eV per cell
Space group ... C2/c, No. 15

Cell: 5.845 5.845 8.021 Å, 97.82 97.82 62.53°
Fractional coordinates of all 10 atoms:
Nd  0.027  0.277  0.153
Nd  0.277  0.027  0.653
Nd  0.723  0.973  0.347
Nd  0.973  0.723  0.847
Pu  0.370  0.630  0.250
Pu  0.630  0.370  0.750
Tc  0.250  0.503  0.487
Tc  0.497  0.750  0.013
Tc  0.503  0.250  0.987
Tc  0.750  0.497  0.513

Computed, not measured: a geometry-optimized Cs2LaBi2 structure at the PBE level of DFT.

Summary:
Total magnetic moment ... 1.33 μB/cell
Electronic total energy ... -32.26 eV per cell
Space group ... P4/mbm, No. 127

Cell: 8.580 8.580 6.528 Å, 90.00 90.00 90.00°
Fractional coordinates of all 10 atoms:
Cs  0.166  0.334  0.000
Cs  0.334  0.834  0.000
Cs  0.666  0.166  0.000
Cs  0.834  0.666  0.000
La  0.000  0.000  0.500
La  0.500  0.500  0.500
Bi  0.130  0.630  0.500
Bi  0.370  0.130  0.500
Bi  0.630  0.870  0.500
Bi  0.870  0.370  0.500

Computed, not measured: a geometry-optimized AgGeSbTe2 structure at the PBE level of DFT.

Summary:
Relative energy among the computed polymorphs ... 5.5 kJ per mole of atoms
Raw formation energy ... 691 meV/atom
Total magnetic moment ... 0.00 μB/cell
Space group ... P4/mmm, No. 123

Cell: 5.472 5.472 5.235 Å, 90.00 90.00 90.00°
Fractional coordinates of all 5 atoms:
Ag  0.000  0.000  0.000
Ge  0.500  0.500  0.500
Sb  0.000  0.000  0.500
Te  0.000  0.500  0.000
Te  0.500  0.000  0.000

Q: What is the formula in the first record?
A: Nd2PuTc2